Record 1
A geometry-optimized NaScCuS3 structure, computed with PBE-GGA.

Output
Fermi-level density of states in states/eV per cell: 15.9
DFT total energy in eV per cell: -61.93
Raw formation energy in eV per atom: -1.139

Cell lengths 3.6733, 9.8392, 6.8427 Å; angles 90.00, 105.52, 90.00 degrees
With the nearest neighbours (Å) after each atom.
Fractional positions:
1 Na 0.2440 0.2500 0.4893  6 S 2.96-3.00
2 Na 0.7560 0.7500 0.5107  6 S 2.96-3.00
3 Sc 0.0000 0.0000 0.0000  6 S 2.58-2.67
4 Sc 0.0000 0.5000 0.0000  6 S 2.58-2.67
5 Cu 0.4763 0.7500 0.9498  4 S 2.27-2.30
6 Cu 0.5237 0.2500 0.0502  4 S 2.27-2.30
7 S 0.0803 0.7500 0.1593  2 Cu 2.30
8 S 0.3723 0.5655 0.7433  1 Cu 2.27
9 S 0.3723 0.9345 0.7433  1 Cu 2.27
10 S 0.6277 0.0655 0.2567  1 Cu 2.27
11 S 0.6277 0.4345 0.2567  1 Cu 2.27
12 S 0.9197 0.2500 0.8407  2 Cu 2.30

***

Record 2
A geometry-optimized NaTm2Ga6 structure, computed with PBE-GGA.

Output
Formation enthalpy at 0 K in eV/atom: -0.403
Fermi-level density of states in states/eV per cell: 3.2
DFT total energy in eV per cell: -32.05

Cell lengths 7.7163, 7.7163, 3.4760 Å; angles 90.00, 90.00, 120.00 degrees
With the nearest neighbours (Å) after each atom.
Fractional positions:
1 Na 0.0000 0.0000 0.0000  12 Ga 3.11, 2 Na 3.48
2 Tm 0.3333 0.6667 0.0000  12 Ga 3.10
3 Tm 0.6667 0.3333 0.0000  12 Ga 3.10
4 Ga 0.0000 0.3345 0.5000  3 Ga 2.55-2.58
5 Ga 0.0000 0.6655 0.5000  3 Ga 2.55-2.58
6 Ga 0.3345 0.0000 0.5000  3 Ga 2.55-2.58
7 Ga 0.3345 0.3345 0.5000  3 Ga 2.55-2.58
8 Ga 0.6655 0.0000 0.5000  3 Ga 2.55-2.58
9 Ga 0.6655 0.6655 0.5000  3 Ga 2.55-2.58

***

Record 3
A geometry-optimized LiFe2Sb structure, computed with PBE-GGA.

Output
Fermi-level density of states in states/eV per cell: 2.5
DFT total energy in eV per cell: -22.06
Raw formation energy in eV per atom: 0.225

Cell lengths 2.8808, 4.4935, 4.6945 Å; angles 90.00, 92.91, 90.00 degrees
With the nearest neighbours (Å) after each atom.
Fractional positions:
1 Li 0.0000 0.0000 0.0000  4 Fe 2.63, 4 Sb 2.69-2.82, 2 Li 2.88
2 Fe 0.2785 0.5000 0.7727  1 Fe 2.43, 2 Li 2.63, 2 Sb 2.68
3 Fe 0.7215 0.5000 0.2273  1 Fe 2.43, 2 Li 2.63, 2 Sb 2.68
4 Sb 0.5000 0.0000 0.5000  4 Fe 2.68, 4 Li 2.69-2.82, 2 Sb 2.88

***

Record 4
A geometry-optimized LaTb5Cu4 structure, computed with PBE-GGA.

Output
Formation enthalpy at 0 K in eV/atom: -0.186
Fermi-level density of states in states/eV per cell: 6.4
DFT total energy in eV per cell: -46.32

Cell lengths 3.4873, 3.4873, 19.5152 Å; angles 90.00, 90.00, 90.00 degrees
With the nearest neighbours (Å) after each atom.
Fractional positions:
1 La 0.0000 0.0000 0.0000  4 La 3.49, 8 Tb 3.73
2 Tb 0.5000 0.5000 0.1431  4 Cu 2.99
3 Tb 0.5000 0.5000 0.3200  8 Cu 3.02-3.03
4 Tb 0.5000 0.5000 0.5000  8 Cu 3.03
5 Tb 0.5000 0.5000 0.6800  8 Cu 3.02-3.03
6 Tb 0.5000 0.5000 0.8569  4 Cu 2.99
7 Cu 0.0000 0.0000 0.2296  8 Tb 2.99-3.03
8 Cu 0.0000 0.0000 0.4096  8 Tb 3.02-3.03
9 Cu 0.0000 0.0000 0.5904  8 Tb 3.02-3.03
10 Cu 0.0000 0.0000 0.7704  8 Tb 2.99-3.03

***

Record 5
A geometry-optimized ScGeSbRh2 structure, computed with PBE-GGA.

Output
Fermi-level density of states in states/eV per cell: 5.8
DFT total energy in eV per cell: -26.22
Raw formation energy in eV per atom: 0.711

Cell lengths 4.6862, 4.6862, 5.3707 Å; angles 90.00, 90.00, 90.00 degrees
With the nearest neighbours (Å) after each atom.
Fractional positions:
1 Sc 0.0000 0.0000 0.0000  4 Rh 2.34
2 Ge 0.5000 0.5000 0.5000  4 Sb 3.31, 8 Rh 3.56
3 Sb 0.0000 0.0000 0.5000  2 Sc 2.69
4 Rh 0.0000 0.5000 0.0000  2 Sc 2.34
5 Rh 0.5000 0.0000 0.0000  2 Sc 2.34

***

Record 6
A geometry-optimized Hg2MoW structure, computed with PBE-GGA.

Output
Formation enthalpy at 0 K in eV/atom: 0.643
Polymorph energy (0 for the lowest one) in eV/atom: 0.1984
Fermi-level density of states in states/eV per cell: 1.5
DFT total energy in eV per cell: -21.81

Cell lengths 5.6356, 5.6356, 5.6356 Å; angles 146.46, 128.70, 62.69 degrees
With the nearest neighbours (Å) after each atom.
Fractional positions:
1 Hg 0.0000 0.0000 0.0000  4 W 2.95, 4 Mo 3.06-3.30, 6 Hg 3.07-3.29
2 Hg 0.7298 0.2298 0.5000  4 Mo 2.96, 2 W 3.04, 6 Hg 3.07-3.29
3 Mo 0.2698 0.7698 0.5000  2 W 2.47
4 W 0.4626 0.4626 0.0000  2 Mo 2.47

***

Record 7
A geometry-optimized GaRh2Au structure, computed with PBE-GGA.

Output
Formation enthalpy at 0 K in eV/atom: 0.172
Fermi-level density of states in states/eV per cell: 12.0
DFT total energy in eV per cell: -40.64

Cell lengths 9.7109, 9.7109, 9.7109 Å; angles 157.50, 157.50, 32.04 degrees
With the nearest neighbours (Å) after each atom.
Fractional positions:
1 Ga 0.0000 0.0000 0.0000  4 Rh 2.67, 4 Au 2.68
2 Ga 0.7500 0.2500 0.5000  4 Rh 2.67, 4 Au 2.68
3 Rh 0.1127 0.6250 0.9877  4 Rh 2.61-2.75, 2 Ga 2.67, 2 Au 2.71
4 Rh 0.3750 0.3627 0.4877  4 Rh 2.61-2.75, 2 Ga 2.67, 2 Au 2.71
5 Rh 0.6373 0.1250 0.0123  4 Rh 2.61-2.75, 2 Ga 2.67, 2 Au 2.71
6 Rh 0.8750 0.8873 0.5123  4 Rh 2.61-2.75, 2 Ga 2.67, 2 Au 2.71
7 Au 0.2500 0.7500 0.5000  4 Ga 2.68, 4 Rh 2.71
8 Au 0.5000 0.5000 0.0000  4 Ga 2.68, 4 Rh 2.71

***

Record 8
A geometry-optimized Ag12Se5F3 structure, computed with PBE-GGA.

Output
Fermi-level density of states in states/eV per cell: 38.0
DFT total energy in eV per cell: -247.75
Raw formation energy in eV per atom: -0.234

Cell lengths 13.1469, 13.1469, 13.1469 Å; angles 109.47, 109.47, 109.47 degrees
With the nearest neighbours (Å) after each atom.
Fractional positions:
1 Ag 0.0568 0.6220 0.3829  1 F 2.47, 2 Se 2.56-2.67
2 Ag 0.0568 0.9349 0.6740  1 F 2.47, 2 Se 2.56-2.67
3 Ag 0.0651 0.2391 0.1220  1 F 2.47, 2 Se 2.56-2.67
4 Ag 0.0651 0.3260 0.9432  1 F 2.47, 2 Se 2.56-2.67
5 Ag 0.1171 0.7391 0.6740  1 F 2.47, 2 Se 2.56-2.67
6 Ag 0.1171 0.8780 0.4432  1 F 2.47, 2 Se 2.56-2.67
7 Ag 0.1220 0.0651 0.2391  1 F 2.47, 2 Se 2.56-2.67
8 Ag 0.1220 0.5568 0.8829  1 F 2.47, 2 Se 2.56-2.67
9 Ag 0.1740 0.2391 0.6171  1 F 2.47, 2 Se 2.56-2.67
10 Ag 0.1740 0.4349 0.5568  1 F 2.47, 2 Se 2.56-2.67
11 Ag 0.2391 0.1220 0.0651  1 F 2.47, 2 Se 2.56-2.67
12 Ag 0.2391 0.6171 0.1740  1 F 2.47, 2 Se 2.56-2.67
13 Ag 0.2609 0.3260 0.8829  1 F 2.47, 2 Se 2.56-2.67
14 Ag 0.2609 0.4349 0.3780  1 F 2.47, 2 Se 2.56-2.67
15 Ag 0.3260 0.8829 0.2609  1 F 2.47, 2 Se 2.56-2.67
16 Ag 0.3260 0.9432 0.0651  1 F 2.47, 2 Se 2.56-2.67
17 Ag 0.3780 0.2609 0.4349  1 F 2.47, 2 Se 2.56-2.67
18 Ag 0.3780 0.6171 0.9432  1 F 2.47, 2 Se 2.56-2.67
19 Ag 0.3829 0.0568 0.6220  1 F 2.47, 2 Se 2.56-2.67
20 Ag 0.3829 0.8260 0.7609  1 F 2.47, 2 Se 2.56-2.67
21 Ag 0.4349 0.3780 0.2609  1 F 2.47, 2 Se 2.56-2.67
22 Ag 0.4349 0.5568 0.1740  1 F 2.47, 2 Se 2.56-2.67
23 Ag 0.4432 0.1171 0.8780  1 F 2.47, 2 Se 2.56-2.67
24 Ag 0.4432 0.8260 0.5651  1 F 2.47, 2 Se 2.56-2.67
25 Ag 0.5568 0.1740 0.4349  1 F 2.47, 2 Se 2.56-2.67
26 Ag 0.5568 0.8829 0.1220  1 F 2.47, 2 Se 2.56-2.67
27 Ag 0.5651 0.4432 0.8260  1 F 2.47, 2 Se 2.56-2.67
28 Ag 0.5651 0.6220 0.7391  1 F 2.47, 2 Se 2.56-2.67
29 Ag 0.6171 0.1740 0.2391  1 F 2.47, 2 Se 2.56-2.67
30 Ag 0.6171 0.9432 0.3780  1 F 2.47, 2 Se 2.56-2.67
31 Ag 0.6220 0.3829 0.0568  1 F 2.47, 2 Se 2.56-2.67
32 Ag 0.6220 0.7391 0.5651  1 F 2.47, 2 Se 2.56-2.67
33 Ag 0.6740 0.0568 0.9349  1 F 2.47, 2 Se 2.56-2.67
34 Ag 0.6740 0.1171 0.7391  1 F 2.47, 2 Se 2.56-2.67
35 Ag 0.7391 0.5651 0.6220  1 F 2.47, 2 Se 2.56-2.67
36 Ag 0.7391 0.6740 0.1171  1 F 2.47, 2 Se 2.56-2.67
37 Ag 0.7609 0.3829 0.8260  1 F 2.47, 2 Se 2.56-2.67
38 Ag 0.7609 0.8780 0.9349  1 F 2.47, 2 Se 2.56-2.67
39 Ag 0.8260 0.5651 0.4432  1 F 2.47, 2 Se 2.56-2.67
40 Ag 0.8260 0.7609 0.3829  1 F 2.47, 2 Se 2.56-2.67
41 Ag 0.8780 0.4432 0.1171  1 F 2.47, 2 Se 2.56-2.67
42 Ag 0.8780 0.9349 0.7609  1 F 2.47, 2 Se 2.56-2.67
43 Ag 0.8829 0.1220 0.5568  1 F 2.47, 2 Se 2.56-2.67
44 Ag 0.8829 0.2609 0.3260  1 F 2.47, 2 Se 2.56-2.67
45 Ag 0.9349 0.6740 0.0568  1 F 2.47, 2 Se 2.56-2.67
46 Ag 0.9349 0.7609 0.8780  1 F 2.47, 2 Se 2.56-2.67
47 Ag 0.9432 0.0651 0.3260  1 F 2.47, 2 Se 2.56-2.67
48 Ag 0.9432 0.3780 0.6171  1 F 2.47, 2 Se 2.56-2.67
49 Se 0.0000 0.0000 0.0000  6 Ag 2.67
50 Se 0.0000 0.0000 0.5000  6 Ag 2.67
51 Se 0.0000 0.5000 0.0000  6 Ag 2.67
52 Se 0.0000 0.5000 0.5000  6 Ag 2.67
53 Se 0.1250 0.7500 0.8750  4 Ag 2.56
54 Se 0.1250 0.8750 0.2500  4 Ag 2.56
55 Se 0.2500 0.1250 0.8750  4 Ag 2.56
56 Se 0.2500 0.6250 0.3750  4 Ag 2.56
57 Se 0.3750 0.2500 0.6250  4 Ag 2.56
58 Se 0.3750 0.6250 0.7500  4 Ag 2.56
59 Se 0.5000 0.0000 0.0000  6 Ag 2.67
60 Se 0.5000 0.0000 0.5000  6 Ag 2.67
61 Se 0.5000 0.5000 0.0000  6 Ag 2.67
62 Se 0.5000 0.5000 0.5000  6 Ag 2.67
63 Se 0.6250 0.3750 0.2500  4 Ag 2.56
64 Se 0.6250 0.7500 0.3750  4 Ag 2.56
65 Se 0.7500 0.3750 0.6250  4 Ag 2.56
66 Se 0.7500 0.8750 0.1250  4 Ag 2.56
67 Se 0.8750 0.1250 0.7500  4 Ag 2.56
68 Se 0.8750 0.2500 0.1250  4 Ag 2.56
69 F 0.1250 0.2500 0.3750  4 Ag 2.47
70 F 0.1250 0.3750 0.7500  4 Ag 2.47
71 F 0.2500 0.3750 0.1250  4 Ag 2.47
72 F 0.2500 0.8750 0.6250  4 Ag 2.47
73 F 0.3750 0.1250 0.2500  4 Ag 2.47
74 F 0.3750 0.7500 0.1250  4 Ag 2.47
75 F 0.6250 0.2500 0.8750  4 Ag 2.47
76 F 0.6250 0.8750 0.7500  4 Ag 2.47
77 F 0.7500 0.1250 0.3750  4 Ag 2.47
78 F 0.7500 0.6250 0.8750  4 Ag 2.47
79 F 0.8750 0.6250 0.2500  4 Ag 2.47
80 F 0.8750 0.7500 0.6250  4 Ag 2.47

***

> Look up the DFT total energy of the seventh one.

-40.64 eV per cell